DFT (GGA-PBE) results for a relaxed GaAs crystal.

a = 7.045 Å, b = 7.045 Å, c = 7.045 Å
α = 90.00°, β = 90.00°, γ = 90.00°
Space group Pa-3 (No. 205)
Asymmetric unit:
Ga 0.159 0.159 0.159 (multiplicity 8)
As 0.140 0.640 0.860 (multiplicity 8)

## Properties
DFT total energy ... -4.048 eV per atom
Volume ... 21.850 A^3/atom


DFT (GGA-PBE) results for a relaxed GaAs3 crystal.

a = 3.813 Å, b = 5.389 Å, c = 4.036 Å
α = 90.00°, β = 90.00°, γ = 90.00°
Space group Pmm2 (No. 25)
Asymmetric unit:
Ga 0.000 0.000 0.000 (multiplicity 1)
As 0.000 0.500 0.087 (multiplicity 1)
As 0.500 0.000 0.545 (multiplicity 1)
As 0.500 0.500 0.492 (multiplicity 1)

## Properties
DFT total energy ... -4.258 eV per atom
Volume ... 20.730 A^3/atom


DFT (GGA-PBE) results for a relaxed GaAs crystal.

a = 7.027 Å, b = 4.058 Å, c = 7.240 Å
α = 90.00°, β = 109.11°, γ = 90.00°
Space group C2/m (No. 12)
Asymmetric unit:
Ga 0.120 0.000 0.359 (multiplicity 4)
As 0.244 0.500 0.233 (multiplicity 4)

## Properties
DFT total energy ... -3.970 eV per atom
Volume ... 24.383 A^3/atom